## Nd2ThH (GGA-PBE)

Data for Nd2ThH after structural relaxation.

Summary:
Total magnetization: 0.000 μB/atom
E: -19.9 eV/f.u.
Symmetry: P4/mmm, No. 123

Cell and atoms, written as POSCAR:
```
Nd2ThH
1.0
3.4297 0.0000 0.0000
0.0000 3.4297 0.0000
0.0000 0.0000 8.6366
Nd Th H
2 1 1
direct
0.0000 0.0000 0.1931 Nd
0.0000 0.0000 0.8069 Nd
0.5000 0.5000 0.5000 Th
0.5000 0.5000 0.0000 H
```

=====

## Nd2ThH6 (GGA-PBE)

Data for Nd2ThH6 after structural relaxation.

Summary:
Total magnetization: 0.000 μB/atom
E: -42.5 eV/f.u.
Symmetry: I4/mmm, No. 139

Cell and atoms, written as POSCAR:
```
Nd2ThH6
1.0
-1.9328 1.9328 8.1938
1.9328 -1.9328 8.1938
1.9328 1.9328 -8.1938
Nd Th H
2 1 6
direct
0.1680 0.1680 0.0000 Nd
0.8320 0.8320 0.0000 Nd
0.5000 0.5000 0.0000 Th
0.0822 0.5822 0.5000 H
0.2500 0.7500 0.5000 H
0.4178 0.9178 0.5000 H
0.5822 0.0822 0.5000 H
0.7500 0.2500 0.5000 H
0.9178 0.4178 0.5000 H
```

=====

## NdTiH (GGA-PBE)

Data for NdTiH after structural relaxation.

Summary:
Total magnetization: 0.000 μB/atom
E: -15.8 eV/f.u.
Symmetry: P-3m1, No. 164

Cell and atoms, written as POSCAR:
```
NdTiH
1.0
3.2347 0.0000 0.0000
-1.6174 2.8013 0.0000
0.0000 0.0000 22.6086
Nd Ti H
4 4 4
direct
0.3333 0.6667 0.2742 Nd
0.3333 0.6667 0.4259 Nd
0.6667 0.3333 0.5741 Nd
0.6667 0.3333 0.7258 Nd
0.3333 0.6667 0.8399 Ti
0.3333 0.6667 0.9538 Ti
0.6667 0.3333 0.0462 Ti
0.6667 0.3333 0.1601 Ti
0.3333 0.6667 0.1139 H
0.3333 0.6667 0.6473 H
0.6667 0.3333 0.3527 H
0.6667 0.3333 0.8861 H
```

=====

## Nd3Ti5H12 (GGA-PBE)

Data for Nd3Ti5H12 after structural relaxation.

Summary:
Total magnetization: 0.055 μB/atom
E: -100.6 eV/f.u.
Symmetry: Ia-3d, No. 230

Cell and atoms, written as POSCAR:
```
Nd3Ti5H12
1.0
-6.0469 6.0469 6.0469
6.0469 -6.0469 6.0469
6.0469 6.0469 -6.0469
Nd Ti H
12 20 48
direct
0.1250 0.2500 0.3750 Nd
0.1250 0.3750 0.7500 Nd
0.2500 0.3750 0.1250 Nd
0.2500 0.8750 0.6250 Nd
0.3750 0.1250 0.2500 Nd
0.3750 0.7500 0.1250 Nd
0.6250 0.2500 0.8750 Nd
0.6250 0.8750 0.7500 Nd
0.7500 0.1250 0.3750 Nd
0.7500 0.6250 0.8750 Nd
0.8750 0.6250 0.2500 Nd
0.8750 0.7500 0.6250 Nd
0.0000 0.0000 0.0000 Ti
0.0000 0.0000 0.5000 Ti
0.0000 0.5000 0.0000 Ti
0.0000 0.5000 0.5000 Ti
0.1250 0.7500 0.8750 Ti
0.1250 0.8750 0.2500 Ti
0.2500 0.1250 0.8750 Ti
0.2500 0.6250 0.3750 Ti
0.3750 0.2500 0.6250 Ti
0.3750 0.6250 0.7500 Ti
0.5000 0.0000 0.0000 Ti
0.5000 0.0000 0.5000 Ti
0.5000 0.5000 0.0000 Ti
0.5000 0.5000 0.5000 Ti
0.6250 0.3750 0.2500 Ti
0.6250 0.7500 0.3750 Ti
0.7500 0.3750 0.6250 Ti
0.7500 0.8750 0.1250 Ti
0.8750 0.1250 0.7500 Ti
0.8750 0.2500 0.1250 Ti
0.0340 0.2027 0.1208 H
0.0340 0.3313 0.9133 H
0.0819 0.7027 0.6687 H
0.0819 0.8792 0.4133 H
0.0867 0.6208 0.4181 H
0.0867 0.9660 0.6687 H
0.1208 0.0340 0.2027 H
0.1208 0.5867 0.9181 H
0.1687 0.2027 0.5819 H
0.1687 0.4660 0.5867 H
0.2027 0.1208 0.0340 H
0.2027 0.5819 0.1687 H
0.2973 0.3313 0.9181 H
0.2973 0.4660 0.3792 H
0.3313 0.9133 0.0340 H
0.3313 0.9181 0.2973 H
0.3792 0.2973 0.4660 H
0.3792 0.5819 0.9133 H
0.4133 0.0819 0.8792 H
0.4133 0.8313 0.5340 H
0.4181 0.0867 0.6208 H
0.4181 0.8313 0.7973 H
0.4660 0.3792 0.2973 H
0.4660 0.5867 0.1687 H
0.5340 0.4133 0.8313 H
0.5340 0.6208 0.7027 H
0.5819 0.1687 0.2027 H
0.5819 0.9133 0.3792 H
0.5867 0.1687 0.4660 H
0.5867 0.9181 0.1208 H
0.6208 0.4181 0.0867 H
0.6208 0.7027 0.5340 H
0.6687 0.0819 0.7027 H
0.6687 0.0867 0.9660 H
0.7027 0.5340 0.6208 H
0.7027 0.6687 0.0819 H
0.7973 0.4181 0.8313 H
0.7973 0.8792 0.9660 H
0.8313 0.5340 0.4133 H
0.8313 0.7973 0.4181 H
0.8792 0.4133 0.0819 H
0.8792 0.9660 0.7973 H
0.9133 0.0340 0.3313 H
0.9133 0.3792 0.5819 H
0.9181 0.1208 0.5867 H
0.9181 0.2973 0.3313 H
0.9660 0.6687 0.0867 H
0.9660 0.7973 0.8792 H
```